! Ti2FeSiO, relaxed, DFT PBE with a Hubbard U; values from VASP
! E in eV for the cell shown: -35.8
! N(E_F) in states/eV per atom: 0.6319
&SYSTEM
  ibrav = 0, nat = 5, ntyp = 4
/
ATOMIC_SPECIES
O 16.00 O.upf
Si 28.09 Si.upf
Fe 55.84 Fe.upf
Ti 47.87 Ti.upf
ATOMIC_POSITIONS angstrom
O 0.0000 0.0000 0.0000
Si 2.0131 2.0651 2.0131
Fe 0.0000 2.0651 0.0000
Ti 2.0131 0.0000 0.0000
Ti 0.0000 0.0000 2.0131
CELL_PARAMETERS angstrom
4.0261 0.0000 0.0000
0.0000 4.1302 0.0000
0.0000 0.0000 4.0261